First-principles (PBE) data for crystalline PmBr2O6 at its relaxed geometry, as listed in Alexandria.

The space group is C2/c (No. 15) and the conventional cell measures 11.502, 7.700 and 7.954 Å, with angles of 90.00, 129.25 and 90.00 degrees. The asymmetric unit holds Pm at (0.000, 0.169, 0.250), Br at (0.189, 0.489, 0.715), O at (0.081, 0.332, 0.069), O at (0.124, 0.049, 0.636) and O at (0.192, 0.402, 0.494).

As for the volume: 545.6 Å³ per cell. The value obtained for the total energy is -4.86 eV per atom. The calculation puts the formation energy from raw total energies at -0.66 eV/atom.

---

First-principles (PBE) data for crystalline SrCa2Cd3 at its relaxed geometry, as listed in Alexandria.

The space group is P4/mmm (No. 123) and the conventional cell measures 3.921, 3.921 and 11.672 Å, with angles of 90.00, 90.00 and 90.00 degrees. The asymmetric unit holds Sr at (0.000, 0.000, 0.000), Ca at (0.000, 0.000, 0.340), Cd at (0.500, 0.500, 0.183) and Cd at (0.500, 0.500, 0.500).

The offset from the most stable computed form comes out at 0 meV/atom. Its formation energy is -0.3420 eV/atom. As for the volume: 179.4 Å³ per cell. The value obtained for the total energy is -1.75 eV per atom.

---

First-principles (PBE) data for crystalline GdLuScAl at its relaxed geometry, as listed in Alexandria.

The space group is F-43m (No. 216) and the conventional cell measures 7.355, 7.355 and 7.355 Å, with angles of 90.00, 90.00 and 90.00 degrees. The asymmetric unit holds Gd at (0.000, 0.000, 0.000), Lu at (0.000, 0.000, 0.500), Sc at (0.250, 0.250, 0.750) and Al at (0.250, 0.250, 0.250).

Its formation energy is -0.1082 eV/atom. As for the volume: 397.9 Å³ per cell. The value obtained for the total energy is -7.28 eV per atom.

---

First-principles (PBE) data for crystalline Sn3BrCl5 at its relaxed geometry, as listed in Alexandria.

The space group is C2/m (No. 12) and the conventional cell measures 12.902, 9.464 and 10.802 Å, with angles of 90.00, 113.18 and 90.00 degrees. The asymmetric unit holds Sn at (0.000, 0.000, 0.000), Sn at (0.000, 0.000, 0.500), Sn at (0.153, 0.500, 0.170), Sn at (0.173, 0.500, 0.665), Br at (0.110, 0.000, 0.803), Cl at (0.000, 0.303, 0.500), Cl at (0.090, 0.500, 0.905), Cl at (0.161, 0.197, 0.173) and Cl at (0.227, 0.000, 0.509).

As for the volume: 1212.5 Å³ per cell. The value obtained for the total energy is -3.50 eV per atom. The calculation puts the formation energy from raw total energies at -0.95 eV/atom.

---

First-principles (PBE) data for crystalline DyAgSn at its relaxed geometry, as listed in Alexandria.

The space group is P3m1 (No. 156) and the conventional cell measures 4.9961, 4.9961 and 6.6253 Å, with angles of 90.00, 90.00 and 120.00 degrees. The asymmetric unit holds Dy at (0.0000, 0.0000, 0.0000), Dy at (0.3333, 0.6667, 0.3676), Ag at (0.3333, 0.6667, 0.8452), Ag at (0.6667, 0.3333, 0.6953), Sn at (0.0000, 0.0000, 0.5382) and Sn at (0.6667, 0.3333, 0.1524).

Its formation energy is -0.4166 eV/atom. As for the volume: 143.2 Å³ per cell. The value obtained for the total energy is -4.24 eV per atom.

---

First-principles (PBE) data for crystalline Y2Er3Tl3 at its relaxed geometry, as listed in Alexandria.

The space group is Pmmm (No. 47) and the conventional cell measures 4.956, 4.966 and 9.046 Å, with angles of 90.00, 90.00 and 90.00 degrees. The asymmetric unit holds Y at (0.000, 0.000, 0.237), Er at (0.000, 0.500, 0.500), Er at (0.500, 0.500, 0.237), Tl at (0.000, 0.500, 0.000), Tl at (0.500, 0.000, 0.000) and Tl at (0.500, 0.000, 0.500).

Its formation energy is -0.2363 eV/atom. As for the volume: 222.7 Å³ per cell. The value obtained for the total energy is -4.45 eV per atom.

---

First-principles (PBE) data for crystalline CaInPb2 at its relaxed geometry, as listed in Alexandria.

The space group is P2/m (No. 10) and the conventional cell measures 3.478, 5.511 and 6.285 Å, with angles of 90.00, 91.39 and 90.00 degrees. The asymmetric unit holds Ca at (0.000, 0.000, 0.000), In at (0.500, 0.000, 0.500) and Pb at (0.370, 0.500, 0.753).

Its formation energy is -0.2062 eV/atom. As for the volume: 120.4 Å³ per cell. The value obtained for the total energy is -3.25 eV per atom.

---

First-principles (PBE) data for crystalline Nb2Te4Se at its relaxed geometry, as listed in Alexandria.

The space group is C2/m (No. 12) and the conventional cell measures 14.366, 3.745 and 8.040 Å, with angles of 90.00, 116.38 and 90.00 degrees. The asymmetric unit holds Nb at (0.188, 0.000, 0.205), Te at (0.133, 0.500, 0.419), Te at (0.170, 0.000, 0.814) and Se at (0.000, 0.000, 0.000).

As for the volume: 387.5 Å³ per cell. The value obtained for the total energy is -5.50 eV per atom. The calculation puts the formation energy from raw total energies at -0.33 eV/atom.

---

First-principles (PBE) data for crystalline Tb5Sb3 at its relaxed geometry, as listed in Alexandria.

The space group is P6_3/mcm (No. 193) and the conventional cell measures 9.0286, 9.0286 and 6.3328 Å, with angles of 90.00, 90.00 and 120.00 degrees. The asymmetric unit holds Tb at (0.0000, 0.2473, 0.2500), Tb at (0.3333, 0.6667, 0.0000) and Sb at (0.0000, 0.3885, 0.7500).

As for the volume: 447.1 Å³ per cell. The value obtained for the total energy is -5.38 eV per atom. The calculation puts the formation energy from raw total energies at -0.94 eV/atom.

---

First-principles (PBE) data for crystalline TbSm2Dy5In at its relaxed geometry, as listed in Alexandria.

The space group is Cmcm (No. 63) and the conventional cell measures 5.379, 20.136 and 10.551 Å, with angles of 90.00, 90.00 and 90.00 degrees. The asymmetric unit holds Tb at (0.000, 0.207, 0.250), Sm at (0.000, 0.116, 0.542), Dy at (0.000, 0.012, 0.250), Dy at (0.000, 0.290, 0.551), Dy at (0.000, 0.384, 0.250), Dy at (0.000, 0.500, 0.000) and In at (0.000, 0.405, 0.750).

Its formation energy is -0.0113 eV/atom. As for the volume: 1142.8 Å³ per cell. The value obtained for the total energy is -4.44 eV per atom.

---

First-principles (PBE) data for crystalline LaDy2Tl at its relaxed geometry, as listed in Alexandria.

The space group is Fm-3m (No. 225) and the conventional cell measures 7.782, 7.782 and 7.782 Å, with angles of 90.00, 90.00 and 90.00 degrees. The asymmetric unit holds La at (0.000, 0.000, 0.000), Dy at (0.250, 0.250, 0.250) and Tl at (0.000, 0.000, 0.500).

The offset from the most stable computed form comes out at 177 meV/atom. Its formation energy is -0.0042 eV/atom. As for the volume: 471.3 Å³ per cell. The value obtained for the total energy is -4.13 eV per atom.

---

First-principles (PBE) data for crystalline BaGa2TcAg at its relaxed geometry, as listed in Alexandria.

The space group is P4/mmm (No. 123) and the conventional cell measures 4.861, 4.861 and 5.371 Å, with angles of 90.00, 90.00 and 90.00 degrees. The asymmetric unit holds Ba at (0.000, 0.000, 0.000), Ga at (0.000, 0.500, 0.500), Tc at (0.500, 0.500, 0.500) and Ag at (0.500, 0.500, 0.000).

The offset from the most stable computed form comes out at 0 meV/atom. Its formation energy is -0.0881 eV/atom. As for the volume: 126.9 Å³ per cell. The value obtained for the total energy is -4.33 eV per atom.

---

First-principles (PBE) data for crystalline AgSb at its relaxed geometry, as listed in Alexandria.

The space group is Fm-3m (No. 225) and the conventional cell measures 5.783, 5.783 and 5.783 Å, with angles of 90.00, 90.00 and 90.00 degrees. The asymmetric unit holds Ag at (0.000, 0.000, 0.000) and Sb at (0.000, 0.000, 0.500).

The offset from the most stable computed form comes out at 96 meV/atom. As for the volume: 193.4 Å³ per cell. The value obtained for the total energy is -3.31 eV per atom. The calculation puts the formation energy from raw total energies at 0.18 eV/atom.

---

First-principles (PBE) data for crystalline La8TeAs3I4 at its relaxed geometry, as listed in Alexandria.

The space group is R-3m (No. 166, hexagonal axes) and the conventional cell measures 8.9463, 8.9463 and 22.9242 Å, with angles of 90.00, 90.00 and 120.00 degrees. The asymmetric unit holds La at (0.0000, 0.0000, 0.2336), La at (0.0194, 0.5097, 0.7639), Te at (0.0000, 0.0000, 0.5000), As at (0.0000, 0.5000, 0.5000), I at (0.0000, 0.0000, 0.0000) and I at (0.0000, 0.5000, 0.0000).

As for the volume: 1588.9 Å³ per cell. The value obtained for the total energy is -5.29 eV per atom. The calculation puts the formation energy from raw total energies at -1.37 eV/atom.

---

First-principles (PBE) data for crystalline ZrHg2TeSe at its relaxed geometry, as listed in Alexandria.

The space group is P4/mmm (No. 123) and the conventional cell measures 5.490, 5.490 and 5.498 Å, with angles of 90.00, 90.00 and 90.00 degrees. The asymmetric unit holds Zr at (0.000, 0.000, 0.000), Hg at (0.000, 0.500, 0.500), Te at (0.500, 0.500, 0.500) and Se at (0.500, 0.500, 0.000).

As for the volume: 165.7 Å³ per cell. The value obtained for the total energy is -2.35 eV per atom. The calculation puts the formation energy from raw total energies at 0.81 eV/atom.

---

no.,size of the total moment (Bohr magnetons per cell),N(E_F) (states/eV per cell)
1,0.00,6.2
2,0.00,5.2
3,30.66,23.3
4,0.00,0.0
5,0.00,2.7
6,1.82,6.2
7,0.00,1.8
8,0.00,8.5
9,0.00,16.4
10,0.00,49.8
11,5.21,31.7
12,0.00,3.0
13,0.00,4.5
14,0.00,27.0
15,2.60,5.4